1.
4
Lattice="4.3929 0.0000 0.0000 0.0000 3.2637 -0.0005 0.0000 3.2485 6.7547" Properties=species:S:1:pos:R:3 comment="PBE-GGA Ca2HgMo, relaxed" magmom_total_mub_per_fu=0.4 volume_a3_per_fu=97 formation_enthalpy_0k_ev_per_atom=0.43 pbc="T T T"
Ca 0.0000 3.2533 3.4466
Ca 0.0000 3.2512 6.6852
Mo 2.1964 4.8841 5.0657
Hg 2.1964 1.6280 1.6886

2.
6
Lattice="-0.9319 -2.1244 4.9079 -0.3298 3.2409 4.3424 -4.7853 0.7939 2.4372" Properties=species:S:1:pos:R:3 comment="PBE-GGA CaHgMo4, relaxed" magmom_total_mub_per_fu=0.0 volume_a3_per_fu=113 formation_enthalpy_0k_ev_per_atom=0.51 pbc="T T T"
Mo -2.4326 2.3366 6.5539
Mo -2.2677 0.7165 4.3831
Mo -2.7336 -0.3456 6.8366
Mo -4.6599 1.1134 5.6015
Hg 0.0000 0.0000 0.0000
Ca -4.5352 1.4328 8.7657

3.
4
Lattice="3.0896 -0.0104 0.0000 0.0104 3.0897 0.0000 0.0000 0.0000 8.8225" Properties=species:S:1:pos:R:3 comment="PBE-GGA CaHg2Mo, relaxed" magmom_total_mub_per_fu=0.0 volume_a3_per_fu=84 formation_enthalpy_0k_ev_per_atom=0.27 pbc="T T T"
Hg 0.0000 0.0000 4.2627
Hg 0.0000 0.0000 0.1485
Ca 1.5500 1.5396 6.6168
Mo 1.5500 1.5396 2.2056

4.
4
Lattice="-2.7429 -2.6508 -1.7346 0.2980 -1.9036 2.4378 -4.6645 1.2312 5.4945" Properties=species:S:1:pos:R:3 comment="PBE-GGA CaHg2Mo, relaxed" magmom_total_mub_per_fu=1.1 volume_a3_per_fu=86 formation_enthalpy_0k_ev_per_atom=0.27 pbc="T T T"
Hg -2.0471 -0.4222 3.8822
Hg 0.1619 -1.8176 2.5217
Ca -4.6463 -1.8297 5.0819
Mo -2.4631 -1.4935 1.1158

5.
4
Lattice="3.3705 0.0000 0.0000 0.0000 3.7865 0.0000 0.0000 0.0000 8.4046" Properties=species:S:1:pos:R:3 comment="PBE-GGA Ca2HgMo, relaxed" magmom_total_mub_per_fu=0.0 volume_a3_per_fu=107 formation_enthalpy_0k_ev_per_atom=0.44 pbc="T T T"
Ca 1.6852 1.8932 2.6312
Ca 0.0000 0.0000 7.8771
Hg 0.0000 0.0000 4.5865
Mo 1.6852 1.8932 5.9166

6.
4
Lattice="6.0636 0.0086 0.0032 5.2175 3.0895 0.0032 1.7812 0.4892 5.2885" Properties=species:S:1:pos:R:3 comment="PBE-GGA Ca2HgMo, relaxed" magmom_total_mub_per_fu=0.0 volume_a3_per_fu=99 formation_enthalpy_0k_ev_per_atom=0.37 pbc="T T T"
Ca 9.9496 2.7324 3.6202
Ca 11.1362 3.0582 0.3551
Hg 6.9237 1.9014 2.8544
Mo 2.8652 0.7869 1.1193

7.
8
Lattice="-3.9874 2.3186 0.4558 -0.5383 -0.0207 -4.6036 -7.2122 -7.4841 -1.4563" Properties=species:S:1:pos:R:3 comment="PBE-GGA CaHg2Mo, relaxed" magmom_total_mub_per_fu=3.0 volume_a3_per_fu=107 formation_enthalpy_0k_ev_per_atom=0.66 pbc="T T T"
Mo 0.0000 0.0000 0.0000
Mo -6.7312 -2.0083 -1.5372
Ca -2.2629 1.1489 -2.0739
Ca -5.0067 -3.1779 -4.0668
Hg -4.5368 -0.3231 -0.6347
Hg -7.0827 -4.7505 -2.4463
Hg -2.4636 -1.6955 -3.2042
Hg -9.3927 -3.6033 -4.9228

8.
4
Lattice="-1.6619 6.7810 2.3882 -0.6351 -4.5564 3.2402 2.0157 1.2483 2.1495" Properties=species:S:1:pos:R:3 comment="PBE-GGA Ca2HgMo, relaxed" magmom_total_mub_per_fu=0.7 volume_a3_per_fu=97 formation_enthalpy_0k_ev_per_atom=0.44 pbc="T T T"
Mo -1.1485 1.1123 2.8142
Ca 0.0000 0.0000 0.0000
Ca 0.1769 4.0147 2.2689
Hg 0.6903 -1.6540 2.6949